LuNb2Ir after structural relaxation, computed with PBE.

Cell and atoms, written as extended XYZ:
```
4
Lattice="0.000 3.314 3.314 3.314 0.000 3.314 3.314 3.314 0.000" Properties=species:S:1:pos:R:3 pbc="T T T"
Lu 0.000 0.000 0.000
Nb 3.314 3.314 3.314
Nb 4.971 4.971 4.971
Ir 1.657 1.657 1.657
```

Properties
As for the formation energy: -201 meV per atom. The symmetry is F-43m.

---

Al17W12 after structural relaxation, computed with PBE.

Cell and atoms, written as extended XYZ:
```
29
Lattice="-4.881 4.881 4.881 4.881 -4.881 4.881 4.881 4.881 -4.881" Properties=species:S:1:pos:R:3 pbc="T T T"
Al 0.000 0.000 0.000
Al 3.199 3.199 -3.199
Al 2.816 0.969 -0.969
Al 2.816 -0.969 0.969
Al 3.199 -3.199 3.199
Al 0.969 2.816 -0.969
Al 0.969 -0.969 2.816
Al 6.945 0.969 0.969
Al 1.681 1.681 1.681
Al -0.969 2.816 0.969
Al -0.969 0.969 2.816
Al 3.911 3.911 2.065
Al 3.911 2.065 3.911
Al -3.199 3.199 3.199
Al 2.065 3.911 3.911
Al 0.969 6.945 0.969
Al 0.969 0.969 6.945
W 5.443 1.246 -1.246
W 5.443 -1.246 1.246
W 4.318 1.246 1.246
W 3.634 3.634 -0.563
W 3.634 -0.563 3.634
W 1.246 5.443 -1.246
W 1.246 -1.246 5.443
W 1.246 4.318 1.246
W 1.246 1.246 4.318
W -1.246 5.443 1.246
W -1.246 1.246 5.443
W -0.563 3.634 3.634
```

Properties
As for the energy above the lowest structure with this stoichiometry: 1.86 kcal/mol of atoms. The symmetry is I-43m.

---

SmGa2Hg after structural relaxation, computed with PBE.

Cell and atoms, written as extended XYZ:
```
8
Lattice="3.627 0.000 0.000 -1.814 3.141 0.000 0.000 0.000 17.178" Properties=species:S:1:pos:R:3 pbc="T T T"
Sm 0.000 0.000 0.000
Sm 0.000 0.000 8.589
Ga 0.000 2.094 2.348
Ga 0.000 2.094 6.241
Ga 1.814 1.047 10.937
Ga 1.814 1.047 14.830
Hg 0.000 2.094 12.883
Hg 1.814 1.047 4.294
```

Properties
The total DFT energy (no corrections) comes out at -2.839 eV/atom. The symmetry is P6_3/mmc.

---

MgCoTcB after structural relaxation, computed with PBE.

Cell and atoms, written as extended XYZ:
```
4
Lattice="0.000 2.843 2.843 2.843 0.000 2.843 2.843 2.843 0.000" Properties=species:S:1:pos:R:3 pbc="T T T"
Mg 0.000 0.000 0.000
Co 4.265 4.265 4.265
Tc 1.422 1.422 1.422
B 2.843 2.843 2.843
```

Properties
As for the energy above the lowest structure with this stoichiometry: 0.00 kcal/mol of atoms. The symmetry is F-43m.

---

AgPbNO after structural relaxation, computed with PBE.

Cell and atoms, written as extended XYZ:
```
8
Lattice="3.588 0.000 0.000 0.000 6.361 0.000 0.000 0.000 5.996" Properties=species:S:1:pos:R:3 pbc="T T T"
Ag 0.000 1.129 0.000
Ag 0.000 5.232 2.998
Pb 1.794 2.172 3.067
Pb 1.794 4.189 0.069
N 1.794 2.107 5.278
N 1.794 4.254 2.280
O 0.000 1.113 2.380
O 0.000 5.248 5.378
```

Properties
As for the energy above the lowest structure with this stoichiometry: 0.95 kcal/mol of atoms. The symmetry is Pmc2_1.

---

Ba2ZnAu after structural relaxation, computed with PBE.

Cell and atoms, written as extended XYZ:
```
4
Lattice="0.000 3.877 3.877 3.877 0.000 3.877 3.877 3.877 0.000" Properties=species:S:1:pos:R:3 pbc="T T T"
Ba 0.000 0.000 0.000
Ba 1.939 1.939 1.939
Zn 5.816 5.816 5.816
Au 3.877 3.877 3.877
```

Properties
The total DFT energy (no corrections) comes out at -2.284 eV/atom. The symmetry is F-43m.

---

NaLaHgPb after structural relaxation, computed with PBE.

Cell and atoms, written as extended XYZ:
```
4
Lattice="0.000 3.868 3.868 3.868 0.000 3.868 3.868 3.868 0.000" Properties=species:S:1:pos:R:3 pbc="T T T"
Na 0.000 0.000 0.000
La 3.868 3.868 3.868
Hg 1.934 1.934 1.934
Pb 5.802 5.802 5.802
```

Properties
The total DFT energy (no corrections) comes out at -3.011 eV/atom. The symmetry is F-43m.

---

NpSi2Ni2 after structural relaxation, computed with PBE.

Cell and atoms, written as extended XYZ:
```
10
Lattice="3.957 0.000 0.000 0.000 3.957 0.000 0.000 0.000 9.416" Properties=species:S:1:pos:R:3 pbc="T T T"
Np 0.989 0.989 2.358
Np 2.968 2.968 7.058
Si 0.989 0.989 5.947
Si 0.989 2.968 0.000
Si 2.968 0.989 0.000
Si 2.968 2.968 3.469
Ni 0.989 0.989 8.245
Ni 0.989 2.968 4.708
Ni 2.968 0.989 4.708
Ni 2.968 2.968 1.171
```

Properties
The total DFT energy (no corrections) comes out at -7.526 eV/atom. The symmetry is P4/nmm.

---

Li2AgBi after structural relaxation, computed with PBE.

Cell and atoms, written as extended XYZ:
```
4
Lattice="0.000 3.394 3.394 3.394 0.000 3.394 3.394 3.394 0.000" Properties=species:S:1:pos:R:3 pbc="T T T"
Li 0.000 0.000 0.000
Li 1.697 1.697 1.697
Ag 5.091 5.091 5.091
Bi 3.394 3.394 3.394
```

Properties
The total DFT energy (no corrections) comes out at -3.036 eV/atom. The symmetry is F-43m.

---

LiZnCoPb after structural relaxation, computed with PBE.

Cell and atoms, written as extended XYZ:
```
4
Lattice="0.000 3.180 3.180 3.180 0.000 3.180 3.180 3.180 0.000" Properties=species:S:1:pos:R:3 pbc="T T T"
Li 0.000 0.000 0.000
Zn 3.180 3.180 3.180
Co 4.770 4.770 4.770
Pb 1.590 1.590 1.590
```

Properties
As for the energy above the lowest structure with this stoichiometry: 4.94 kcal/mol of atoms. The symmetry is F-43m.